CoTcCl: relaxed, PBE.

Geometry as POSCAR:
```
CoTcCl
1.0
2.872 0.000 0.000
-1.436 2.487 0.000
0.000 0.000 5.856
Tc Cl Co
1 1 1
direct
0.333 0.667 0.656 Tc
0.000 0.000 0.006 Cl
0.667 0.333 0.338 Co
```

Results
- E_tot: -18.2 eV for the cell shown
- E above lowest polymorph: 0 meV/atom
- Formation energy without anion corrections: 356.8 meV/atom


CoTcCl: relaxed, PBE.

Geometry as POSCAR:
```
CoTcCl
1.0
-3.310 2.072 -1.011
-2.382 -1.329 -2.973
-3.651 -1.489 0.853
Cl Co Tc
1 1 1
direct
0.000 0.000 0.000 Cl
0.500 0.500 0.500 Co
0.750 0.750 0.750 Tc
```

Results
- E_tot: -17.0 eV for the cell shown
- E above lowest polymorph: 426 meV/atom
- Formation energy without anion corrections: 782.9 meV/atom


Co4TcCl: relaxed, PBE.

Geometry as POSCAR:
```
Co4TcCl
1.0
0.000 3.424 3.424
3.424 0.000 3.424
3.424 3.424 0.000
Co Tc Cl
4 1 1
direct
0.376 0.872 0.376 Co
0.376 0.376 0.376 Co
0.872 0.376 0.376 Co
0.376 0.376 0.872 Co
0.750 0.750 0.750 Tc
0.000 0.000 0.000 Cl
```

Results
- E_tot: -36.3 eV for the cell shown
- Formation energy without anion corrections: 727.6 meV/atom


CoTc2Cl: relaxed, PBE.

Geometry as POSCAR:
```
CoTc2Cl
1.0
-2.266 1.200 -4.629
1.303 -4.773 -1.876
-4.984 -3.688 -1.541
Co Cl Tc
2 2 4
direct
0.000 0.000 0.000 Co
0.750 0.250 0.500 Co
0.500 0.500 0.000 Cl
0.250 0.750 0.500 Cl
0.875 0.885 0.750 Tc
0.115 0.625 0.250 Tc
0.375 0.365 0.750 Tc
0.635 0.125 0.250 Tc
```

Results
- E_tot: -50.9 eV for the cell shown
- E above lowest polymorph: 758 meV/atom
- Formation energy without anion corrections: 1054.0 meV/atom


Th6Co2TcCl3: relaxed, PBE.

Geometry as POSCAR:
```
Th6Co2TcCl3
1.0
-2.639 1.679 -2.826
-5.513 -6.947 1.022
-0.696 6.107 7.422
Co Th Cl Tc
2 6 3 1
direct
0.169 0.334 0.338 Co
0.831 0.666 0.662 Co
0.016 0.222 0.031 Th
0.681 0.544 0.363 Th
0.656 0.120 0.312 Th
0.984 0.778 0.969 Th
0.344 0.880 0.688 Th
0.319 0.456 0.637 Th
0.167 0.828 0.333 Cl
0.833 0.172 0.667 Cl
0.500 0.500 0.000 Cl
0.500 0.000 0.000 Tc
```

Results
- E_tot: -84.0 eV for the cell shown
- Formation energy without anion corrections: -780.9 meV/atom


TlCoTc2Cl: relaxed, PBE.

Geometry as POSCAR:
```
TlCoTc2Cl
1.0
-4.003 -0.819 1.478
2.114 -2.806 4.170
0.135 3.634 2.377
Cl Co Tc Tl
1 1 2 1
direct
0.000 0.000 0.000 Cl
0.500 0.500 0.500 Co
0.000 0.000 0.500 Tc
0.500 0.000 0.000 Tc
0.000 0.500 0.000 Tl
```

Results
- E_tot: -24.3 eV for the cell shown
- Formation energy without anion corrections: 1540.9 meV/atom


Zn2CoTcCl: relaxed, PBE.

Geometry as POSCAR:
```
Zn2CoTcCl
1.0
4.656 0.000 0.000
0.000 4.373 0.000
0.000 0.000 4.656
Tc Zn Cl Co
1 2 1 1
direct
0.000 0.500 0.000 Tc
0.500 0.000 0.000 Zn
0.000 0.000 0.500 Zn
0.500 0.500 0.500 Cl
0.000 0.000 0.000 Co
```

Results
- E_tot: -18.9 eV for the cell shown
- Formation energy without anion corrections: 603.1 meV/atom


ZrCoTc2Cl: relaxed, PBE.

Geometry as POSCAR:
```
ZrCoTc2Cl
1.0
4.518 0.000 0.000
0.000 4.397 0.000
0.000 0.000 4.518
Cl Co Zr Tc
1 1 1 2
direct
0.000 0.500 0.000 Cl
0.000 0.000 0.000 Co
0.500 0.500 0.500 Zr
0.000 0.000 0.500 Tc
0.500 0.000 0.000 Tc
```

Results
- E_tot: -33.2 eV for the cell shown
- Formation energy without anion corrections: 997.5 meV/atom


CoTe2Cl: relaxed, PBE.

Geometry as POSCAR:
```
CoTe2Cl
1.0
6.676 0.000 0.000
0.000 6.676 0.000
3.338 3.338 5.204
Cl Te Co
2 4 2
direct
0.250 0.750 0.500 Cl
0.500 0.500 0.000 Cl
0.039 0.625 0.250 Te
0.875 0.961 0.750 Te
0.711 0.125 0.250 Te
0.375 0.289 0.750 Te
0.750 0.250 0.500 Co
0.000 0.000 0.000 Co
```

Results
- E_tot: -30.3 eV for the cell shown
- E above lowest polymorph: 286 meV/atom
- Formation energy without anion corrections: 19.0 meV/atom


CoTe2Cl: relaxed, PBE.

Geometry as POSCAR:
```
CoTe2Cl
1.0
-1.449 -6.592 7.684
1.829 -6.717 7.492
0.375 -4.351 9.248
Co Cl Te
1 1 2
direct
0.000 0.000 0.000 Co
0.500 0.500 0.500 Cl
0.082 0.082 0.082 Te
0.918 0.918 0.918 Te
```

Results
- E_tot: -13.2 eV for the cell shown
- E above lowest polymorph: 779 meV/atom
- Formation energy without anion corrections: 512.5 meV/atom


CoTeCl2: relaxed, PBE.

Geometry as POSCAR:
```
CoTeCl2
1.0
-2.689 -1.387 -0.434
1.202 -1.608 -2.305
3.012 -8.103 7.223
Co Te Cl
1 1 2
direct
0.500 0.500 0.250 Co
0.500 0.500 0.750 Te
0.000 0.000 0.118 Cl
0.000 0.000 0.382 Cl
```

Results
- E_tot: -14.2 eV for the cell shown
- Formation energy without anion corrections: -64.5 meV/atom


CoTeCl2: relaxed, PBE.

Geometry as POSCAR:
```
CoTeCl2
1.0
-4.817 0.068 -2.390
-3.814 -1.398 3.525
3.964 3.628 0.227
Cl Te Co
2 1 1
direct
0.000 0.000 0.000 Cl
0.500 0.500 0.000 Cl
0.750 0.250 0.500 Te
0.250 0.750 0.500 Co
```

Results
- E_tot: -11.3 eV for the cell shown
- Formation energy without anion corrections: 651.8 meV/atom


CoTeCl2: relaxed, PBE.

Geometry as POSCAR:
```
CoTeCl2
1.0
-5.409 -0.939 3.801
-5.684 -3.285 1.215
1.575 -3.984 3.447
Cl Co Te
2 1 1
direct
0.854 0.854 0.635 Cl
0.065 0.065 0.953 Cl
0.474 0.474 0.534 Co
0.107 0.107 0.378 Te
```

Results
- E_tot: -14.8 eV for the cell shown
- Formation energy without anion corrections: -221.3 meV/atom


CoTe2Cl: relaxed, PBE.

Geometry as POSCAR:
```
CoTe2Cl
1.0
-3.036 1.512 -1.918
-4.245 -3.380 4.053
-3.789 5.205 6.110
Co Te Cl
2 4 2
direct
0.025 0.200 0.328 Co
0.525 0.700 0.328 Co
0.959 0.466 0.459 Te
0.113 0.956 0.153 Te
0.459 0.966 0.459 Te
0.613 0.456 0.153 Te
0.803 0.311 0.768 Cl
0.303 0.811 0.768 Cl
```

Results
- E_tot: -32.6 eV for the cell shown
- E above lowest polymorph: 0 meV/atom
- Formation energy without anion corrections: -266.8 meV/atom


CoTe2Cl: relaxed, PBE.

Geometry as POSCAR:
```
CoTe2Cl
1.0
3.801 0.000 0.000
1.900 3.292 0.000
1.900 1.097 7.440
Co Te Cl
1 2 1
direct
0.669 0.669 0.994 Co
0.278 0.278 0.165 Te
0.060 0.060 0.820 Te
0.493 0.493 0.521 Cl
```

Results
- E_tot: -16.1 eV for the cell shown
- E above lowest polymorph: 46 meV/atom
- Formation energy without anion corrections: -221.0 meV/atom


CoTe2Cl: relaxed, PBE.

Geometry as POSCAR:
```
CoTe2Cl
1.0
-4.974 -2.491 3.370
2.192 0.321 3.473
-1.497 3.792 0.594
Te Co Cl
2 1 1
direct
0.000 0.000 0.000 Te
0.000 0.500 0.500 Te
0.500 0.000 0.500 Co
0.500 0.500 0.000 Cl
```

Results
- E_tot: -13.0 eV for the cell shown
- E above lowest polymorph: 819 meV/atom
- Formation energy without anion corrections: 552.1 meV/atom


CoTeCl2: relaxed, PBE.

Geometry as POSCAR:
```
CoTeCl2
1.0
-1.497 1.889 -2.696
2.194 -1.634 -2.363
-5.599 -5.966 -1.072
Te Co Cl
1 1 2
direct
0.500 0.500 0.595 Te
0.000 0.000 0.671 Co
0.000 0.000 0.928 Cl
0.500 0.500 0.306 Cl
```

Results
- E_tot: -14.4 eV for the cell shown
- Formation energy without anion corrections: -120.5 meV/atom


CoTe2Cl: relaxed, PBE.

Geometry as POSCAR:
```
CoTe2Cl
1.0
5.239 -0.277 6.238
4.368 -4.041 5.571
7.072 -2.236 3.380
Cl Te Co
1 2 1
direct
0.000 0.000 0.000 Cl
0.885 0.885 0.885 Te
0.115 0.115 0.115 Te
0.500 0.500 0.500 Co
```

Results
- E_tot: -16.2 eV for the cell shown
- E above lowest polymorph: 19 meV/atom
- Formation energy without anion corrections: -247.6 meV/atom


CoTeCl2: relaxed, PBE.

Geometry as POSCAR:
```
CoTeCl2
1.0
-2.466 1.439 -2.012
-3.206 0.448 4.252
-0.557 4.807 4.121
Co Cl Te
1 2 1
direct
0.000 0.536 0.457 Co
0.500 0.315 0.362 Cl
0.000 0.016 0.019 Cl
0.500 0.633 0.662 Te
```

Results
- E_tot: -14.9 eV for the cell shown
- Formation energy without anion corrections: -249.4 meV/atom


CoTeCl2: relaxed, PBE.

Geometry as POSCAR:
```
CoTeCl2
1.0
-4.544 4.265 -2.617
-6.493 -1.681 -0.843
5.511 1.302 3.692
Te Cl Co
1 2 1
direct
0.250 0.750 0.500 Te
0.887 0.887 0.000 Cl
0.613 0.613 0.000 Cl
0.750 0.250 0.500 Co
```

Results
- E_tot: -14.1 eV for the cell shown
- Formation energy without anion corrections: -50.8 meV/atom


CoTe2Cl: relaxed, PBE.

Geometry as POSCAR:
```
CoTe2Cl
1.0
-3.345 1.185 3.546
-1.931 -3.113 -3.424
-1.339 -4.389 2.017
Te Co Cl
2 1 1
direct
0.000 0.000 0.000 Te
0.500 0.000 0.500 Te
0.500 0.500 0.000 Co
0.000 0.500 0.500 Cl
```

Results
- E_tot: -13.9 eV for the cell shown
- E above lowest polymorph: 589 meV/atom
- Formation energy without anion corrections: 321.9 meV/atom


CoTeCl2: relaxed, PBE.

Geometry as POSCAR:
```
CoTeCl2
1.0
-1.095 2.799 1.011
-6.249 -1.685 -2.104
-5.237 -3.136 3.008
Cl Te Co
2 1 1
direct
0.000 0.125 0.125 Cl
0.000 0.375 0.375 Cl
0.500 0.750 0.750 Te
0.500 0.250 0.250 Co
```

Results
- E_tot: -15.1 eV for the cell shown
- Formation energy without anion corrections: -286.6 meV/atom


CoTe3Cl: relaxed, PBE.

Geometry as POSCAR:
```
CoTe3Cl
1.0
-4.216 1.594 -2.304
-2.414 0.047 4.450
1.423 4.805 0.721
Te Co Cl
3 1 1
direct
0.000 0.500 0.000 Te
0.500 0.000 0.000 Te
0.000 0.000 0.500 Te
0.000 0.000 0.000 Co
0.500 0.500 0.500 Cl
```

Results
- E_tot: -16.9 eV for the cell shown
- E above lowest polymorph: 520 meV/atom
- Formation energy without anion corrections: 300.7 meV/atom


CoTe2Cl: relaxed, PBE.

Geometry as POSCAR:
```
CoTe2Cl
1.0
-5.260 -1.656 -0.585
3.539 -2.157 -3.685
0.561 -2.488 1.996
Te Cl Co
2 1 1
direct
0.500 0.500 0.000 Te
0.000 0.000 0.000 Te
0.500 0.000 0.500 Cl
0.000 0.500 0.500 Co
```

Results
- E_tot: -12.8 eV for the cell shown
- E above lowest polymorph: 882 meV/atom
- Formation energy without anion corrections: 615.2 meV/atom


CoTe2Cl: relaxed, PBE.

Geometry as POSCAR:
```
CoTe2Cl
1.0
-0.449 4.945 0.701
-4.306 -0.807 2.440
4.171 -2.342 1.504
Te Co Cl
2 1 1
direct
0.000 0.000 0.000 Te
0.250 0.750 0.500 Te
0.750 0.250 0.500 Co
0.500 0.500 0.000 Cl
```

Results
- E_tot: -12.9 eV for the cell shown
- E above lowest polymorph: 857 meV/atom
- Formation energy without anion corrections: 590.0 meV/atom


CoTe3Cl: relaxed, PBE.

Geometry as POSCAR:
```
CoTe3Cl
1.0
-1.656 3.782 -5.162
-8.984 0.566 3.726
6.578 6.494 3.077
Cl Co Te
4 4 12
direct
0.455 0.562 0.747 Cl
0.955 0.747 0.562 Cl
0.545 0.438 0.253 Cl
0.045 0.253 0.438 Cl
0.750 0.941 0.059 Co
0.250 0.059 0.941 Co
0.750 0.175 0.825 Co
0.250 0.825 0.175 Co
0.935 0.965 0.299 Te
0.963 0.404 0.840 Te
0.037 0.596 0.160 Te
0.077 0.818 0.935 Te
0.065 0.035 0.701 Te
0.423 0.065 0.182 Te
0.435 0.299 0.965 Te
0.463 0.840 0.404 Te
0.565 0.701 0.035 Te
0.923 0.182 0.065 Te
0.537 0.160 0.596 Te
0.577 0.935 0.818 Te
```

Results
- E_tot: -77.9 eV for the cell shown
- E above lowest polymorph: 0 meV/atom
- Formation energy without anion corrections: -218.9 meV/atom


CoTe2Cl: relaxed, PBE.

Geometry as POSCAR:
```
CoTe2Cl
1.0
6.257 0.069 -0.016
3.020 5.480 0.016
-3.881 -4.041 2.786
Co Te Cl
1 2 1
direct
0.250 0.750 0.500 Co
0.068 0.068 0.000 Te
0.432 0.432 0.000 Te
0.750 0.250 0.500 Cl
```

Results
- E_tot: -14.6 eV for the cell shown
- E above lowest polymorph: 417 meV/atom
- Formation energy without anion corrections: 150.5 meV/atom


CoTe2Cl: relaxed, PBE.

Geometry as POSCAR:
```
CoTe2Cl
1.0
-3.164 1.672 -1.337
-3.406 -1.616 0.615
-2.228 3.744 6.028
Co Te Cl
1 2 1
direct
0.750 0.750 0.750 Co
0.455 0.455 0.576 Te
0.045 0.045 0.924 Te
0.250 0.250 0.250 Cl
```

Results
- E_tot: -16.2 eV for the cell shown
- E above lowest polymorph: 18 meV/atom
- Formation energy without anion corrections: -248.9 meV/atom